Record 1
Density functional theory data (PBE) for an optimized crystal structure of LaAg2AuC.

Summary:
- ΔH_f (0 K) (meV/atom) = 1488.5

a = 5.8072 Å, b = 5.8072 Å, c = 4.1807 Å
α = 90.00°, β = 90.00°, γ = 90.00°
With the nearest neighbours (Å) after each atom.
Space group P4/mmm (No. 123)
One atom of each set of equivalent atoms:
La 0.0000 0.0000 0.0000 x1  2 C 2.09
Ag 0.0000 0.5000 0.0000 x2  2 La 2.90
Au 0.5000 0.5000 0.5000 x1  8 Ag 3.58
C 0.0000 0.0000 0.5000 x1  2 La 2.09

=====

Record 2
Density functional theory data (PBE) for an optimized crystal structure of Ba2UZnO6.

Summary:
- formation energy (no corrections) (eV per atom) = -2.76

a = 8.4959 Å, b = 8.4959 Å, c = 8.4959 Å
α = 90.00°, β = 90.00°, γ = 90.00°
With the nearest neighbours (Å) after each atom.
Space group Fm-3m (No. 225)
One atom of each set of equivalent atoms:
Ba 0.2500 0.2500 0.2500 x8  12 O 3.00
U 0.0000 0.0000 0.0000 x4  6 O 2.09
Zn 0.0000 0.0000 0.5000 x4  6 O 2.16
O 0.0000 0.0000 0.2463 x24  1 U 2.09, 1 Zn 2.16

=====

Record 3
Density functional theory data (PBE) for an optimized crystal structure of Se2Br.

Summary:
- formation energy (no corrections) (eV per atom) = 0.06
- energy above the lowest structure with this stoichiometry (eV per atom) = 0.102

a = 11.8235 Å, b = 3.5880 Å, c = 8.3524 Å
α = 90.00°, β = 90.41°, γ = 90.00°
With the nearest neighbours (Å) after each atom.
Space group C2/m (No. 12)
One atom of each set of equivalent atoms:
Se 0.1858 0.0000 0.0384 x4  2 Se 2.44
Se 0.1858 0.0000 0.4600 x4  2 Se 2.44
Br 0.0371 0.5000 0.2480 x4  4 Se 3.07

=====

Record 4
Density functional theory data (PBE) for an optimized crystal structure of Sc3In2Ir.

Summary:
- ΔH_f (0 K) (meV/atom) = -606.9

a = 4.8181 Å, b = 14.6376 Å, c = 7.0136 Å
α = 90.00°, β = 90.00°, γ = 90.00°
With the nearest neighbours (Å) after each atom.
Space group Cmmm (No. 65)
One atom of each set of equivalent atoms:
Sc 0.0000 0.0000 0.2383 x4  2 Ir 2.75, 6 In 2.93-3.03
Sc 0.0000 0.3237 0.2177 x8  3 Ir 2.88-2.98, 4 In 3.00-3.12, 1 Sc 3.05
In 0.0000 0.1648 0.5000 x4  8 Sc 3.03-3.12
In 0.0000 0.5000 0.0000 x2  8 Sc 2.93-3.00, 4 Ir 3.25
In 0.0000 0.5000 0.5000 x2  8 Sc 3.03-3.25
Ir 0.0000 0.1492 0.0000 x4  8 Sc 2.75-2.98

=====

Record 5
Density functional theory data (PBE) for an optimized crystal structure of NdSI.

Summary:
- formation energy (no corrections) (eV per atom) = -1.40

a = 7.2544 Å, b = 7.2544 Å, c = 7.2544 Å
α = 90.00°, β = 90.00°, γ = 90.00°
With the nearest neighbours (Å) after each atom.
Space group F-43m (No. 216)
One atom of each set of equivalent atoms:
Nd 0.0000 0.0000 0.0000 x4  4 S 3.14, 4 I 3.14
S 0.2500 0.2500 0.2500 x4  4 Nd 3.14
I 0.2500 0.2500 0.7500 x4  4 Nd 3.14

=====

Record 6
Density functional theory data (PBE) for an optimized crystal structure of LaTmLuPb.

Summary:
- ΔH_f (0 K) (meV/atom) = -127.7

a = 7.8281 Å, b = 7.8281 Å, c = 7.8281 Å
α = 90.00°, β = 90.00°, γ = 90.00°
With the nearest neighbours (Å) after each atom.
Space group F-43m (No. 216)
One atom of each set of equivalent atoms:
La 0.0000 0.0000 0.0000 x4  4 Pb 3.39, 4 Lu 3.39
Tm 0.0000 0.0000 0.5000 x4  4 Lu 3.39, 4 Pb 3.39
Lu 0.2500 0.2500 0.7500 x4  4 La 3.39, 4 Tm 3.39
Pb 0.2500 0.2500 0.2500 x4  4 La 3.39, 4 Tm 3.39

=====

Record 7
Density functional theory data (PBE) for an optimized crystal structure of HfSc5Pt6.

Summary:
- ΔH_f (0 K) (meV/atom) = -1201.4

a = 8.1124 Å, b = 14.0381 Å, c = 4.6750 Å
α = 90.00°, β = 125.11°, γ = 90.00°
With the nearest neighbours (Å) after each atom.
Space group C2/m (No. 12)
One atom of each set of equivalent atoms:
Hf 0.0000 0.0000 0.0000 x2  8 Pt 2.80-2.83
Sc 0.0000 0.1703 0.5000 x4  8 Pt 2.85-2.90
Sc 0.0000 0.3338 0.0000 x4  8 Pt 2.88-2.91
Sc 0.0000 0.5000 0.5000 x2  8 Pt 2.83-2.91
Pt 0.2398 0.0000 0.7406 x4  2 Hf 2.82-2.83, 6 Sc 2.87-2.91
Pt 0.2463 0.1619 0.2465 x8  1 Hf 2.80, 7 Sc 2.83-2.91

=====

Record 8
Density functional theory data (PBE) for an optimized crystal structure of CrNiBr2.

Summary:
- formation energy (no corrections) (eV per atom) = -0.01
- energy above the lowest structure with this stoichiometry (eV per atom) = 0.089

a = 8.8521 Å, b = 3.6795 Å, c = 6.3358 Å
α = 90.00°, β = 92.38°, γ = 90.00°
With the nearest neighbours (Å) after each atom.
Space group Cm (No. 8)
One atom of each set of equivalent atoms:
Cr 0.0000 0.0000 0.0000 x2  3 Ni 2.57-2.65, 4 Br 2.64-2.73
Ni 0.2992 0.0000 0.0351 x2  3 Br 2.32-2.40, 2 Cr 2.57
Br 0.1799 0.5000 0.2062 x2  2 Ni 2.40
Br 0.4213 0.0000 0.7184 x2  1 Ni 2.32